1.
Material: NdGa4Co9
Method: DFT, SCAN
State: PBEsol geometry

abc: 7.9958 7.9958 7.9958
angles: 121.23 121.23 87.89
With the nearest neighbours (Å) after each atom.
Atoms (fractional coordinates):
Nd 0.2500 0.2500 0.0000  8 Ga 3.22, 16 Co 3.28-3.31
Nd 0.7500 0.7500 0.0000  8 Ga 3.22, 16 Co 3.28-3.31
Ga 0.0544 0.5544 0.8600  9 Co 2.36-2.57
Ga 0.1944 0.0544 0.5000  9 Co 2.36-2.57
Ga 0.3056 0.8056 0.8600  9 Co 2.36-2.57
Ga 0.4456 0.3056 0.5000  9 Co 2.36-2.57
Ga 0.5544 0.6944 0.5000  9 Co 2.36-2.57
Ga 0.6944 0.1944 0.1400  9 Co 2.36-2.57
Ga 0.8056 0.9456 0.5000  9 Co 2.36-2.57
Ga 0.9456 0.4456 0.1400  9 Co 2.36-2.57
Co 0.0000 0.5000 0.5000  8 Co 2.37-2.41, 4 Ga 2.47
Co 0.0609 0.7879 0.5000  4 Ga 2.36-2.43, 6 Co 2.37-2.52
Co 0.0615 0.1988 0.2603  5 Co 2.31-2.52, 4 Ga 2.50-2.57
Co 0.1988 0.9385 0.1373  5 Co 2.31-2.52, 4 Ga 2.50-2.57
Co 0.2122 0.7121 0.2730  4 Ga 2.36-2.43, 6 Co 2.37-2.52
Co 0.2878 0.5609 0.5000  4 Ga 2.36-2.43, 6 Co 2.37-2.52
Co 0.3012 0.4385 0.7397  5 Co 2.31-2.52, 4 Ga 2.50-2.57
Co 0.4385 0.6988 0.1373  5 Co 2.31-2.52, 4 Ga 2.50-2.57
Co 0.4391 0.9391 0.7270  4 Ga 2.36-2.43, 6 Co 2.37-2.52
Co 0.5000 0.0000 0.5000  8 Co 2.37-2.41, 4 Ga 2.47
Co 0.5609 0.0609 0.2730  4 Ga 2.36-2.43, 6 Co 2.37-2.52
Co 0.5615 0.3012 0.8627  5 Co 2.31-2.52, 4 Ga 2.50-2.57
Co 0.6988 0.5615 0.2603  5 Co 2.31-2.52, 4 Ga 2.50-2.57
Co 0.7121 0.4391 0.5000  4 Ga 2.36-2.43, 6 Co 2.37-2.52
Co 0.7879 0.2878 0.7270  4 Ga 2.36-2.43, 6 Co 2.37-2.52
Co 0.8012 0.0615 0.8627  5 Co 2.31-2.52, 4 Ga 2.50-2.57
Co 0.9385 0.8012 0.7397  5 Co 2.31-2.52, 4 Ga 2.50-2.57
Co 0.9391 0.2122 0.5000  4 Ga 2.36-2.43, 6 Co 2.37-2.52

Calculated values
- M_tot: 0.88 μB/atom
- Formation energy: -0.1779 eV/atom

---

2.
Material: HfCdPCl2
Method: DFT, SCAN
State: PBEsol geometry

abc: 4.8319 4.8319 5.1541
angles: 90.00 90.00 90.00
With the nearest neighbours (Å) after each atom.
Atoms (fractional coordinates):
Hf 0.0000 0.0000 0.0000  4 Cl 2.42, 2 P 2.58
Cd 0.5000 0.5000 0.5000  4 P 3.42, 8 Cl 3.53
P 0.0000 0.0000 0.5000  2 Hf 2.58
Cl 0.0000 0.5000 0.0000  2 Hf 2.42
Cl 0.5000 0.0000 0.0000  2 Hf 2.42

Calculated values
- M_tot: 0.00 μB/atom
- Formation energy from raw total energies: -0.737 eV/atom

---

3.
Material: Zr2TlW
Method: DFT, SCAN
State: PBEsol geometry

abc: 5.5884 5.5884 5.5884
angles: 141.88 131.27 63.49
With the nearest neighbours (Å) after each atom.
Atoms (fractional coordinates):
Zr 0.0000 0.0000 0.0000  4 W 2.94, 4 Zr 3.09-3.23, 4 Tl 3.11-3.21
Zr 0.7382 0.2382 0.5000  2 W 2.85, 4 Tl 2.95, 2 Zr 3.09
Tl 0.2647 0.7647 0.5000  2 W 2.95, 8 Zr 2.95-3.21
W 0.5085 0.5085 0.0000  6 Zr 2.85-2.94, 2 Tl 2.95

Calculated values
- Offset from the most stable computed form: 0.441 eV per formula unit
- M_tot: 0.00 μB/atom
- Formation energy: 0.1511 eV/atom

---

4.
Material: Zr5Os
Method: DFT, SCAN
State: PBEsol geometry

abc: 3.2334 3.2334 11.7195
angles: 90.00 90.00 90.00
With the nearest neighbours (Å) after each atom.
Atoms (fractional coordinates):
Zr 0.0000 0.0000 0.0000  12 Zr 3.13-3.23
Zr 0.0000 0.0000 0.3617  4 Os 2.80, 4 Zr 3.10
Zr 0.0000 0.0000 0.6383  4 Os 2.80, 4 Zr 3.10
Zr 0.5000 0.5000 0.1826  12 Zr 3.10-3.23
Zr 0.5000 0.5000 0.8174  12 Zr 3.10-3.23
Os 0.5000 0.5000 0.5000  8 Zr 2.80

Calculated values
- Offset from the most stable computed form: 0.060 eV per formula unit
- M_tot: 0.00 μB/atom
- Formation energy: -0.2126 eV/atom